Density functional theory data (PBE) for a relaxed Ho6Ni2Te crystal.

abc: 8.4320 8.4320 8.4320
angles: 105.35 109.15 114.03
Last column: nearest neighbours and their distance in Å.
Sites, in units of the cell vectors:
Ho  0.5228  0.7027  0.8201  2 Ni 2.86
Ho  0.4772  0.2973  0.1799  2 Ni 2.86
Ho  0.1173  0.2973  0.8201  2 Ni 2.86
Ho  0.8827  0.7027  0.1799  2 Ni 2.86
Ho  0.7926  0.7748  0.5674  1 Ni 2.74
Ho  0.2074  0.2252  0.4326  1 Ni 2.74
Ho  0.2074  0.7748  0.9822  1 Ni 2.74
Ho  0.7926  0.2252  0.0178  1 Ni 2.74
Ho  0.6876  0.3620  0.6744  3 Ni 2.68-2.84
Ho  0.3124  0.6380  0.3256  3 Ni 2.68-2.84
Ho  0.3124  0.9868  0.6744  3 Ni 2.68-2.84
Ho  0.6876  0.0132  0.3256  3 Ni 2.68-2.84
Ni  0.5000  0.3754  0.8754  1 Ni 2.55, 2 Ho 2.68
Ni  0.5000  0.6246  0.1246  1 Ni 2.55, 2 Ho 2.68
Ni  0.6414  0.0000  0.6414  6 Ho 2.74-2.84, 1 Ni 2.76
Ni  0.3586  0.0000  0.3586  6 Ho 2.74-2.84, 1 Ni 2.76
Te  0.0000  0.5000  0.5000  12 Ho 3.38-3.64
Te  0.0000  0.0000  0.0000  8 Ho 3.07-3.25

For the density of states at the Fermi level, the calculation gives 15.79 states/eV per cell. As for the total magnetization: 0.0 μB/f.u. The theoretical density is 8.94 g/cm³. The value obtained for the uncorrected formation energy is -385 kJ/mol of formula units.